1.
Material: CsPaNiSe3
Method: DFT, PBE
State: relaxed

CIF file:
```
data_CsPaNiSe3
_chemical_formula_sum 'Cs2 Pa2 Ni2 Se6'
_space_group_name_H-M_alt 'P 1 21/m 1'
_space_group_IT_number 11
_cell_length_a 9.7877
_cell_length_b 4.0645
_cell_length_c 10.0808
_cell_angle_alpha 90.00
_cell_angle_beta 115.10
_cell_angle_gamma 90.00
loop_
_space_group_symop_operation_xyz
'x,y,z'
'-x,-y,-z'
'-x,y+1/2,-z'
'x,-y+1/2,z'
loop_
_atom_site_label
_atom_site_type_symbol
_atom_site_fract_x
_atom_site_fract_y
_atom_site_fract_z
Cs1 Cs 0.2192 0.2500 0.2568
Pa1 Pa 0.3061 0.7500 0.8286
Ni1 Ni 0.0963 0.2500 0.6113
Se1 Se 0.1216 0.2500 0.8588
Se2 Se 0.1795 0.7500 0.5314
Se3 Se 0.4723 0.7500 0.1485
```

total DFT energy (no corrections)	-33.50	eV/f.u.

=====

2.
Material: CsPaNi2Se4
Method: DFT, PBE
State: relaxed

CIF file:
```
data_CsPaNi2Se4
_chemical_formula_sum 'Cs2 Pa2 Ni4 Se8'
_space_group_name_H-M_alt 'I 2 2 2'
_space_group_IT_number 23
_cell_length_a 5.8931
_cell_length_b 9.3070
_cell_length_c 9.9287
_cell_angle_alpha 90.00
_cell_angle_beta 90.00
_cell_angle_gamma 90.00
loop_
_space_group_symop_operation_xyz
'x,y,z'
'-x,-y,z'
'x,-y,-z'
'-x,y,-z'
'x+1/2,y+1/2,z+1/2'
'-x+1/2,-y+1/2,z+1/2'
'x+1/2,-y+1/2,-z+1/2'
'-x+1/2,y+1/2,-z+1/2'
loop_
_atom_site_label
_atom_site_type_symbol
_atom_site_fract_x
_atom_site_fract_y
_atom_site_fract_z
Cs1 Cs 0.0000 0.0000 0.0000
Pa1 Pa 0.0000 0.0000 0.5000
Ni1 Ni 0.0000 0.5000 0.1149
Se1 Se 0.2397 0.1714 0.3309
```

total DFT energy (no corrections)	-40.69	eV/f.u.

=====

3.
Material: Cs2PaNiSe4
Method: DFT, PBE
State: relaxed

CIF file:
```
data_Cs2PaNiSe4
_chemical_formula_sum 'Cs16 Pa8 Ni8 Se32'
_space_group_name_H-M_alt 'F d d d'
_space_group_IT_number 70
_cell_length_a 6.2544
_cell_length_b 15.1625
_cell_length_c 26.8211
_cell_angle_alpha 90.00
_cell_angle_beta 90.00
_cell_angle_gamma 90.00
loop_
_space_group_symop_operation_xyz
'x,y,z'
'-x,-y,-z'
'-x+1/4,-y+1/4,z'
'x+1/4,y+1/4,-z'
'x,-y+1/4,-z+1/4'
'-x,y+1/4,z+1/4'
'-x+1/4,y,-z+1/4'
'x+1/4,-y,z+1/4'
'x,y+1/2,z+1/2'
'-x,-y+1/2,-z+1/2'
'-x+1/4,-y+3/4,z+1/2'
'x+1/4,y+3/4,-z+1/2'
'x,-y+3/4,-z+3/4'
'-x,y+3/4,z+3/4'
'-x+1/4,y+1/2,-z+3/4'
'x+1/4,-y+1/2,z+3/4'
'x+1/2,y,z+1/2'
'-x+1/2,-y,-z+1/2'
'-x+3/4,-y+1/4,z+1/2'
'x+3/4,y+1/4,-z+1/2'
'x+1/2,-y+1/4,-z+3/4'
'-x+1/2,y+1/4,z+3/4'
'-x+3/4,y,-z+3/4'
'x+3/4,-y,z+3/4'
'x+1/2,y+1/2,z'
'-x+1/2,-y+1/2,-z'
'-x+3/4,-y+3/4,z'
'x+3/4,y+3/4,-z'
'x+1/2,-y+3/4,-z+1/4'
'-x+1/2,y+3/4,z+1/4'
'-x+3/4,y+1/2,-z+1/4'
'x+3/4,-y+1/2,z+1/4'
loop_
_atom_site_label
_atom_site_type_symbol
_atom_site_fract_x
_atom_site_fract_y
_atom_site_fract_z
Cs1 Cs 0.1250 0.1250 0.3037
Pa1 Pa 0.1250 0.1250 0.1250
Ni1 Ni 0.1250 0.1250 0.6250
Se1 Se 0.0940 0.2780 0.8243
```

total DFT energy (no corrections)	-38.62	eV/f.u.

=====

4.
Material: CsPaNiTe4
Method: DFT, PBE
State: relaxed

CIF file:
```
data_CsPaNiTe4
_chemical_formula_sum 'Cs2 Pa2 Ni2 Te8'
_space_group_name_H-M_alt 'P 1 21/m 1'
_space_group_IT_number 11
_cell_length_a 7.3572
_cell_length_b 6.3087
_cell_length_c 10.6599
_cell_angle_alpha 90.00
_cell_angle_beta 105.56
_cell_angle_gamma 90.00
loop_
_space_group_symop_operation_xyz
'x,y,z'
'-x,-y,-z'
'-x,y+1/2,-z'
'x,-y+1/2,z'
loop_
_atom_site_label
_atom_site_type_symbol
_atom_site_fract_x
_atom_site_fract_y
_atom_site_fract_z
Cs1 Cs 0.2225 0.2500 0.0427
Pa1 Pa 0.2728 0.2500 0.5528
Ni1 Ni 0.2789 0.7500 0.3593
Te1 Te 0.0012 0.0001 0.6886
Te2 Te 0.4254 0.7500 0.5971
Te3 Te 0.4542 0.7500 0.1859
```

total DFT energy (no corrections)	-33.69	eV/f.u.

=====

5.
Material: Cs2PaNi2Te4
Method: DFT, PBE
State: relaxed

CIF file:
```
data_Cs2PaNi2Te4
_chemical_formula_sum 'Cs4 Pa2 Ni4 Te8'
_space_group_name_H-M_alt 'C 1 2/m 1'
_space_group_IT_number 12
_cell_length_a 15.6394
_cell_length_b 4.2570
_cell_length_c 9.1267
_cell_angle_alpha 90.00
_cell_angle_beta 106.74
_cell_angle_gamma 90.00
loop_
_space_group_symop_operation_xyz
'x,y,z'
'-x,-y,-z'
'-x,y,-z'
'x,-y,z'
'x+1/2,y+1/2,z'
'-x+1/2,-y+1/2,-z'
'-x+1/2,y+1/2,-z'
'x+1/2,-y+1/2,z'
loop_
_atom_site_label
_atom_site_type_symbol
_atom_site_fract_x
_atom_site_fract_y
_atom_site_fract_z
Cs1 Cs 0.1437 0.0000 0.0746
Pa1 Pa 0.0000 0.0000 0.5000
Ni1 Ni 0.1536 0.5000 0.4693
Te1 Te 0.0065 0.5000 0.2587
Te2 Te 0.2013 0.0000 0.6295
```

total DFT energy (no corrections)	-41.83	eV/f.u.

=====

6.
Material: CsNiPb3
Method: DFT, PBE
State: relaxed

CIF file:
```
data_CsNiPb3
_chemical_formula_sum 'Cs1 Ni1 Pb3'
_space_group_name_H-M_alt 'P m -3 m'
_space_group_IT_number 221
_space_group_name_Hall '-P 4 2 3'
_cell_length_a 6.3056
_cell_length_b 6.3056
_cell_length_c 6.3056
_cell_angle_alpha 90.00
_cell_angle_beta 90.00
_cell_angle_gamma 90.00
loop_
_atom_site_label
_atom_site_type_symbol
_atom_site_fract_x
_atom_site_fract_y
_atom_site_fract_z
Cs1 Cs 0.0000 0.0000 0.0000
Ni1 Ni 0.5000 0.5000 0.5000
Pb1 Pb 0.0000 0.0000 0.5000
```

energy relative to the lowest polymorph listed for this composition	1706	meV per atom
formation energy from the elements	1869.4	meV/atom

=====

no.,M_tot (μB per formula unit)
1,0.0
2,2.1
3,1.0
4,0.0
5,0.0
6,0.0